# 1
# NbSiRhO2 (PBE-GGA, optimized geometry)
data_NbSiRhO2
_chemical_formula_sum 'Nb1 Si1 Rh1 O2'
_cell_length_a 3.815
_cell_length_b 3.815
_cell_length_c 5.624
_cell_angle_alpha 90.00
_cell_angle_beta 90.00
_cell_angle_gamma 90.00
_space_group_name_H-M_alt 'P 4/m m m'
_space_group_IT_number 123
_space_group_name_Hall '-P 4 2'
loop_
_atom_site_label
_atom_site_type_symbol
_atom_site_fract_x
_atom_site_fract_y
_atom_site_fract_z
_atom_site_occupancy
Nb1 Nb 0.000 0.000 0.000 1
Si1 Si 0.500 0.500 0.500 1
Rh1 Rh 0.000 0.000 0.500 1
O1 O 0.000 0.500 0.000 1
# Calculated total energy (Ry per atom): -0.5510


# 2
# BaSrSb (PBE-GGA, optimized geometry)
data_BaSrSb
_chemical_formula_sum 'Ba4 Sr4 Sb4'
_cell_length_a 8.092
_cell_length_b 8.092
_cell_length_c 8.092
_cell_angle_alpha 90.00
_cell_angle_beta 90.00
_cell_angle_gamma 90.00
_space_group_name_H-M_alt 'F -4 3 m'
_space_group_IT_number 216
_space_group_name_Hall 'F -4 2 3'
loop_
_atom_site_label
_atom_site_type_symbol
_atom_site_fract_x
_atom_site_fract_y
_atom_site_fract_z
_atom_site_occupancy
Ba1 Ba 0.000 0.000 0.000 1
Sr1 Sr 0.000 0.000 0.500 1
Sb1 Sb 0.250 0.250 0.250 1
# Calculated total energy (Ry per atom): -0.2491


| no. | formation energy (no corrections) (eV per atom) | magnetic moment (μB per formula unit) |
| --- | --- | --- |
| 1 | -0.94 | 0.00 |
| 2 | -0.81 | 0.00 |